## Li2Re (PBE-GGA)

Data for crystalline Li2Re at its relaxed geometry.

Calculated values
**Final energy**: -2.80 eV/atom
**Theoretical density**: 1.72 g cm⁻³
**Symmetry**: No. 227
**Distance to the lowest polymorph of the same formula**: 2190 meV per atom

Geometry as POSCAR:
```
Li2Re
1.0
4.0913 2.3621 6.6810
-4.0913 2.3621 6.6810
0.0000 -4.7242 6.6810
Re Li
2 4
direct
0.5000 0.5000 0.5000
0.2500 0.2500 0.2500
0.8750 0.3750 0.3750
0.3750 0.8750 0.3750
0.3750 0.3750 0.3750
0.3750 0.3750 0.8750
```